[1]
The following is a PBE-GGA calculation of a geometry-optimized MgHg2Pb structure, from the Alexandria database.

Geometry as POSCAR:
```
MgHg2Pb
1.0
4.857 0.000 0.000
0.000 3.686 0.173
0.000 0.903 5.837
Pb Mg Hg
1 1 2
Cartesian
2.429 3.421 4.259
0.000 1.615 3.062
0.000 0.104 0.286
2.429 1.742 1.408
```

Output
- Space group: Pm (6)
- Total DFT energy (no corrections): -6.03 eV per cell
- Energy of formation from the pure elements: -0.032 eV per atom
- Calculated volume: 104 Å³/cell

=====

[2]
The following is a PBE-GGA calculation of a geometry-optimized Sc2Os structure, from the Alexandria database.

Geometry as POSCAR:
```
Sc2Os
1.0
3.310 0.000 0.000
1.655 7.264 0.000
0.000 0.000 4.793
Os Sc
2 4
Cartesian
3.310 1.127 1.198
1.655 6.138 3.595
1.655 3.167 1.198
3.310 4.098 3.595
1.655 1.054 3.595
3.310 6.211 1.198
```

Output
- Space group: Cmcm (63)
- Total DFT energy (no corrections): -49.69 eV per cell
- Energy of formation from the pure elements: -0.318 eV per atom
- Calculated volume: 115 Å³/cell

=====

[3]
The following is a PBE-GGA calculation of a geometry-optimized LaErIr2 structure, from the Alexandria database.

Geometry as POSCAR:
```
LaErIr2
1.0
4.950 0.000 0.000
2.475 4.287 0.000
2.475 1.429 4.042
Ir Er La
2 1 1
Cartesian
7.425 4.287 3.031
2.475 1.429 1.010
0.000 0.000 0.000
4.950 2.858 2.021
```

Output
- Space group: Fm-3m (225)
- Total DFT energy (no corrections): -29.90 eV per cell
- Energy of formation from the pure elements: -0.673 eV per atom
- Calculated volume: 86 Å³/cell
- Excess energy over the best structure of this formula in the dataset: 20 meV/atom